The following is a DFT calculation (GGA-PBE) of a geometry-optimized LaNi2P structure.

Geometry as CIF:
```
data_LaNi2P
_chemical_formula_sum 'La1 Ni2 P1'
_space_group_name_H-M_alt 'P 1'
_space_group_IT_number 1
_space_group_name_Hall 'P 1'
_cell_length_a 3.024
_cell_length_b 3.024
_cell_length_c 6.942
_cell_angle_alpha 90.00
_cell_angle_beta 90.00
_cell_angle_gamma 90.00
loop_
_atom_site_label
_atom_site_type_symbol
_atom_site_fract_x
_atom_site_fract_y
_atom_site_fract_z
_atom_site_occupancy
La1 La 0.000 0.000 0.000 1
Ni1 Ni 0.500 0.500 0.325 1
Ni2 Ni 0.500 0.500 0.675 1
P1 P 0.000 0.000 0.500 1
```

Computed properties:
**ΔE_f**: -0.16 eV/atom
**E**: -5.638 eV per atom
**V**: 63.48 Å³/cell
**Magnetic moment**: 0.00 μB/atom



The following is a DFT calculation (GGA-PBE) of a geometry-optimized La3Ni6P5 structure.

Geometry as CIF:
```
data_La3Ni6P5
_chemical_formula_sum 'La6 Ni12 P10'
_space_group_name_H-M_alt 'P 1'
_space_group_IT_number 1
_space_group_name_Hall 'P 1'
_cell_length_a 3.891
_cell_length_b 11.844
_cell_length_c 9.757
_cell_angle_alpha 90.00
_cell_angle_beta 90.00
_cell_angle_gamma 90.00
loop_
_atom_site_label
_atom_site_type_symbol
_atom_site_fract_x
_atom_site_fract_y
_atom_site_fract_z
_atom_site_occupancy
La1 La 0.250 0.093 0.244 1
La2 La 0.250 0.407 0.244 1
La3 La 0.250 0.750 0.249 1
La4 La 0.750 0.250 0.751 1
La5 La 0.750 0.593 0.756 1
La6 La 0.750 0.907 0.756 1
Ni1 Ni 0.250 0.065 0.887 1
Ni2 Ni 0.250 0.250 0.001 1
Ni3 Ni 0.250 0.250 0.514 1
Ni4 Ni 0.250 0.435 0.887 1
Ni5 Ni 0.250 0.578 0.492 1
Ni6 Ni 0.250 0.922 0.492 1
Ni7 Ni 0.750 0.078 0.508 1
Ni8 Ni 0.750 0.422 0.508 1
Ni9 Ni 0.750 0.565 0.113 1
Ni10 Ni 0.750 0.750 0.486 1
Ni11 Ni 0.750 0.750 0.999 1
Ni12 Ni 0.750 0.935 0.113 1
P1 P 0.250 0.078 0.638 1
P2 P 0.250 0.422 0.638 1
P3 P 0.250 0.613 0.996 1
P4 P 0.250 0.750 0.604 1
P5 P 0.250 0.887 0.996 1
P6 P 0.750 0.113 0.004 1
P7 P 0.750 0.250 0.396 1
P8 P 0.750 0.387 0.004 1
P9 P 0.750 0.578 0.362 1
P10 P 0.750 0.922 0.362 1
```

Computed properties:
**ΔE_f**: -0.95 eV/atom
**E**: -6.414 eV per atom
**V**: 449.65 Å³/cell
**Magnetic moment**: 0.00 μB/atom



The following is a DFT calculation (GGA-PBE) of a geometry-optimized La2NiP structure.

Geometry as CIF:
```
data_La2NiP
_chemical_formula_sum 'La4 Ni2 P2'
_space_group_name_H-M_alt 'P 1'
_space_group_IT_number 1
_space_group_name_Hall 'P 1'
_cell_length_a 4.126
_cell_length_b 4.152
_cell_length_c 10.919
_cell_angle_alpha 90.00
_cell_angle_beta 90.00
_cell_angle_gamma 90.00
loop_
_atom_site_label
_atom_site_type_symbol
_atom_site_fract_x
_atom_site_fract_y
_atom_site_fract_z
_atom_site_occupancy
La1 La 0.000 0.000 0.000 1
La2 La 0.000 0.500 0.500 1
La3 La 0.500 0.000 0.282 1
La4 La 0.500 0.500 0.782 1
Ni1 Ni 0.500 0.000 0.589 1
Ni2 Ni 0.500 0.500 0.089 1
P1 P 0.000 0.000 0.708 1
P2 P 0.000 0.500 0.208 1
```

Computed properties:
**ΔE_f**: -0.88 eV/atom
**E**: -6.142 eV per atom
**V**: 187.05 Å³/cell
**Magnetic moment**: 0.00 μB/atom



The following is a DFT calculation (GGA-PBE) of a geometry-optimized La2NiP structure.

Geometry as CIF:
```
data_La2NiP
_chemical_formula_sum 'La8 Ni4 P4'
_space_group_name_H-M_alt 'P 1'
_space_group_IT_number 1
_space_group_name_Hall 'P 1'
_cell_length_a 7.003
_cell_length_b 7.003
_cell_length_c 7.003
_cell_angle_alpha 90.00
_cell_angle_beta 90.00
_cell_angle_gamma 90.00
loop_
_atom_site_label
_atom_site_type_symbol
_atom_site_fract_x
_atom_site_fract_y
_atom_site_fract_z
_atom_site_occupancy
La1 La 0.000 0.000 0.000 1
La2 La 0.000 0.500 0.500 1
La3 La 0.250 0.250 0.250 1
La4 La 0.250 0.750 0.750 1
La5 La 0.500 0.000 0.500 1
La6 La 0.500 0.500 0.000 1
La7 La 0.750 0.250 0.750 1
La8 La 0.750 0.750 0.250 1
Ni1 Ni 0.000 0.000 0.500 1
Ni2 Ni 0.000 0.500 0.000 1
Ni3 Ni 0.500 0.000 0.000 1
Ni4 Ni 0.500 0.500 0.500 1
P1 P 0.250 0.250 0.750 1
P2 P 0.250 0.750 0.250 1
P3 P 0.750 0.250 0.250 1
P4 P 0.750 0.750 0.750 1
```

Computed properties:
**ΔE_f**: -0.09 eV/atom
**E**: -5.349 eV per atom
**V**: 343.47 Å³/cell
**Magnetic moment**: 0.00 μB/atom



The following is a DFT calculation (GGA-PBE) of a geometry-optimized LaNiP2 structure.

Geometry as CIF:
```
data_LaNiP2
_chemical_formula_sum 'La4 Ni4 P8'
_space_group_name_H-M_alt 'P 1'
_space_group_IT_number 1
_space_group_name_Hall 'P 1'
_cell_length_a 6.627
_cell_length_b 6.627
_cell_length_c 6.627
_cell_angle_alpha 90.00
_cell_angle_beta 90.00
_cell_angle_gamma 90.00
loop_
_atom_site_label
_atom_site_type_symbol
_atom_site_fract_x
_atom_site_fract_y
_atom_site_fract_z
_atom_site_occupancy
La1 La 0.000 0.000 0.000 1
La2 La 0.000 0.500 0.500 1
La3 La 0.500 0.000 0.500 1
La4 La 0.500 0.500 0.000 1
Ni1 Ni 0.250 0.250 0.250 1
Ni2 Ni 0.250 0.750 0.750 1
Ni3 Ni 0.750 0.250 0.750 1
Ni4 Ni 0.750 0.750 0.250 1
P1 P 0.000 0.000 0.500 1
P2 P 0.000 0.500 0.000 1
P3 P 0.250 0.250 0.750 1
P4 P 0.250 0.750 0.250 1
P5 P 0.500 0.000 0.000 1
P6 P 0.500 0.500 0.500 1
P7 P 0.750 0.250 0.250 1
P8 P 0.750 0.750 0.750 1
```

Computed properties:
**ΔE_f**: -0.12 eV/atom
**E**: -5.502 eV per atom
**V**: 291.03 Å³/cell
**Magnetic moment**: 0.00 μB/atom



The following is a DFT calculation (GGA-PBE) of a geometry-optimized La2Ni3P structure.

Geometry as CIF:
```
data_La2Ni3P
_chemical_formula_sum 'La4 Ni6 P2'
_space_group_name_H-M_alt 'P 1'
_space_group_IT_number 1
_space_group_name_Hall 'P 1'
_cell_length_a 8.133
_cell_length_b 8.129
_cell_length_c 5.742
_cell_angle_alpha 69.36
_cell_angle_beta 69.28
_cell_angle_gamma 41.36
loop_
_atom_site_label
_atom_site_type_symbol
_atom_site_fract_x
_atom_site_fract_y
_atom_site_fract_z
_atom_site_occupancy
La1 La 0.244 0.756 0.756 1
La2 La 0.250 0.250 0.250 1
La3 La 0.750 0.750 0.750 1
La4 La 0.756 0.244 0.244 1
Ni1 Ni 0.172 0.172 0.828 1
Ni2 Ni 0.172 0.656 0.344 1
Ni3 Ni 0.344 0.828 0.172 1
Ni4 Ni 0.656 0.172 0.828 1
Ni5 Ni 0.828 0.344 0.656 1
Ni6 Ni 0.828 0.828 0.172 1
P1 P 0.333 0.333 0.667 1
P2 P 0.667 0.667 0.333 1
```

Computed properties:
**ΔE_f**: -0.70 eV/atom
**E**: -6.139 eV per atom
**V**: 232.28 Å³/cell
**Magnetic moment**: 0.00 μB/atom



The following is a DFT calculation (GGA-PBE) of a geometry-optimized LaNi2P structure.

Geometry as CIF:
```
data_LaNi2P
_chemical_formula_sum 'La1 Ni2 P1'
_space_group_name_H-M_alt 'P 1'
_space_group_IT_number 1
_space_group_name_Hall 'P 1'
_cell_length_a 3.785
_cell_length_b 4.203
_cell_length_c 4.769
_cell_angle_alpha 90.00
_cell_angle_beta 90.00
_cell_angle_gamma 90.00
loop_
_atom_site_label
_atom_site_type_symbol
_atom_site_fract_x
_atom_site_fract_y
_atom_site_fract_z
_atom_site_occupancy
La1 La 0.000 0.000 0.000 1
Ni1 Ni 0.500 0.500 0.251 1
Ni2 Ni 0.500 0.500 0.749 1
P1 P 0.000 0.500 0.500 1
```

Computed properties:
**ΔE_f**: -0.65 eV/atom
**E**: -6.126 eV per atom
**V**: 75.86 Å³/cell
**Magnetic moment**: 0.00 μB/atom



The following is a DFT calculation (GGA-PBE) of a geometry-optimized La2NiP structure.

Geometry as CIF:
```
data_La2NiP
_chemical_formula_sum 'La4 Ni2 P2'
_space_group_name_H-M_alt 'P 1'
_space_group_IT_number 1
_space_group_name_Hall 'P 1'
_cell_length_a 4.155
_cell_length_b 4.155
_cell_length_c 10.603
_cell_angle_alpha 90.00
_cell_angle_beta 90.00
_cell_angle_gamma 90.00
loop_
_atom_site_label
_atom_site_type_symbol
_atom_site_fract_x
_atom_site_fract_y
_atom_site_fract_z
_atom_site_occupancy
La1 La 0.000 0.000 0.000 1
La2 La 0.000 0.500 0.250 1
La3 La 0.500 0.000 0.750 1
La4 La 0.500 0.500 0.500 1
Ni1 Ni 0.000 0.500 0.750 1
Ni2 Ni 0.500 0.000 0.250 1
P1 P 0.000 0.000 0.500 1
P2 P 0.500 0.500 0.000 1
```

Computed properties:
**ΔE_f**: -0.62 eV/atom
**E**: -5.881 eV per atom
**V**: 183.05 Å³/cell
**Magnetic moment**: 0.00 μB/atom



The following is a DFT calculation (GGA-PBE) of a geometry-optimized LaNiP2 structure.

Geometry as CIF:
```
data_LaNiP2
_chemical_formula_sum 'La4 Ni4 P8'
_space_group_name_H-M_alt 'P 1'
_space_group_IT_number 1
_space_group_name_Hall 'P 1'
_cell_length_a 4.677
_cell_length_b 4.677
_cell_length_c 14.785
_cell_angle_alpha 90.00
_cell_angle_beta 90.00
_cell_angle_gamma 90.00
loop_
_atom_site_label
_atom_site_type_symbol
_atom_site_fract_x
_atom_site_fract_y
_atom_site_fract_z
_atom_site_occupancy
La1 La 0.000 0.000 0.000 1
La2 La 0.000 0.500 0.250 1
La3 La 0.500 0.000 0.750 1
La4 La 0.500 0.500 0.500 1
Ni1 Ni 0.000 0.000 0.500 1
Ni2 Ni 0.000 0.500 0.750 1
Ni3 Ni 0.500 0.000 0.250 1
Ni4 Ni 0.500 0.500 0.000 1
P1 P 0.065 0.250 0.625 1
P2 P 0.250 0.565 0.875 1
P3 P 0.250 0.935 0.375 1
P4 P 0.435 0.250 0.125 1
P5 P 0.565 0.750 0.125 1
P6 P 0.750 0.065 0.375 1
P7 P 0.750 0.435 0.875 1
P8 P 0.935 0.750 0.625 1
```

Computed properties:
**ΔE_f**: -0.82 eV/atom
**E**: -6.205 eV per atom
**V**: 323.44 Å³/cell
**Magnetic moment**: 0.00 μB/atom



The following is a DFT calculation (GGA-PBE) of a geometry-optimized LaNi6P4 structure.

Geometry as CIF:
```
data_LaNi6P4
_chemical_formula_sum 'La1 Ni6 P4'
_space_group_name_H-M_alt 'P 1'
_space_group_IT_number 1
_space_group_name_Hall 'P 1'
_cell_length_a 5.936
_cell_length_b 5.936
_cell_length_c 5.936
_cell_angle_alpha 116.16
_cell_angle_beta 116.16
_cell_angle_gamma 96.79
loop_
_atom_site_label
_atom_site_type_symbol
_atom_site_fract_x
_atom_site_fract_y
_atom_site_fract_z
_atom_site_occupancy
La1 La 0.000 0.000 0.000 1
Ni1 Ni 0.000 0.500 0.500 1
Ni2 Ni 0.227 0.523 0.000 1
Ni3 Ni 0.477 0.477 0.704 1
Ni4 Ni 0.500 0.000 0.500 1
Ni5 Ni 0.523 0.227 0.000 1
Ni6 Ni 0.773 0.773 0.296 1
P1 P 0.142 0.142 0.590 1
P2 P 0.448 0.858 0.000 1
P3 P 0.552 0.552 0.410 1
P4 P 0.858 0.448 0.000 1
```

Computed properties:
**ΔE_f**: -0.61 eV/atom
**E**: -6.182 eV per atom
**V**: 155.29 Å³/cell
**Magnetic moment**: 0.00 μB/atom